# 1
Computed, not measured: a geometry-optimized RbBe structure at the PBE level of DFT.

abc: 4.2397 5.2952 8.9204
angles: 102.07 96.42 112.78
Closest atoms and distances in Å follow each position.
Space group P-1 (No. 2)
Asymmetric unit:
Rb1 0.1200 0.1245 0.2489 x2  2 Be 3.33
Be1 0.2629 0.5265 0.0000 x2  2 Be 2.14

Results
**DOS at the Fermi energy**: 3.1 states/eV per cell
**Magnetic moment**: 0.0 Bohr magnetons per cell
**Energy of formation from the pure elements**: 0.75 eV per atom
**Excess energy over the best structure of this formula in the dataset**: 0.26 eV/f.u.


# 2
Computed, not measured: a geometry-optimized RbBe structure at the PBE level of DFT.

abc: 7.8501 10.8260 6.6738
angles: 90.00 90.00 90.00
Closest atoms and distances in Å follow each position.
Space group Pnma (No. 62)
Asymmetric unit:
Rb1 0.2484 0.0804 0.1225 x8  3 Rb 3.67-3.76, 6 Be 3.67-3.94
Be1 0.1156 0.2500 0.6719 x4  2 Be 2.09-2.11
Be2 0.1179 0.7500 0.1722 x4  2 Be 2.09-2.11

Results
**DOS at the Fermi energy**: 9.5 states/eV per cell
**Magnetic moment**: 0.0 Bohr magnetons per cell
**Energy of formation from the pure elements**: 0.75 eV per atom
**Excess energy over the best structure of this formula in the dataset**: 0.25 eV/f.u.